1.
VASP calculation (PBE-GGA) on a geometry-optimized HfTlPt structure.

abc: 4.5604 4.5604 4.5604
angles: 60.00 60.00 60.00
Element x y z (fractional)
Hf 0.0000 0.0000 0.0000
Tl 0.2500 0.2500 0.2500
Pt 0.5000 0.5000 0.5000

Computed properties:
crystal system = cubic
symmetry = F-43m (216)
VASP energy = -17.8 eV/cell

2.
VASP calculation (PBE-GGA) on a geometry-optimized Ba2Zn7F18 structure.

abc: 6.9539 7.2249 7.3900
angles: 94.06 93.25 116.32
Element x y z (fractional)
Ba 0.1841 0.3128 0.3708
Ba 0.8159 0.6872 0.6292
Zn 0.1090 0.7317 0.1238
Zn 0.3057 0.1267 0.8218
Zn 0.3237 0.6204 0.8057
Zn 0.5000 0.0000 0.5000
Zn 0.6763 0.3796 0.1943
Zn 0.6943 0.8733 0.1782
Zn 0.8910 0.2683 0.8762
F 0.0036 0.9337 0.1846
F 0.0185 0.4350 0.6702
F 0.1853 0.4871 0.0318
F 0.1947 0.8182 0.8717
F 0.2104 0.9878 0.5477
F 0.3794 0.2231 0.0823
F 0.4049 0.3955 0.7159
F 0.4140 0.7106 0.5609
F 0.4139 0.8856 0.2296
F 0.5861 0.1144 0.7704
F 0.5860 0.2894 0.4391
F 0.5951 0.6045 0.2841
F 0.6206 0.7769 0.9177
F 0.7896 0.0122 0.4523
F 0.8053 0.1818 0.1283
F 0.8147 0.5129 0.9682
F 0.9815 0.5650 0.3298
F 0.9964 0.0663 0.8154

Computed properties:
crystal system = triclinic
symmetry = P-1 (2)
VASP energy = -117.9 eV/cell

3.
VASP calculation (PBE-GGA) on a geometry-optimized SrGaSbPd2 structure.

abc: 4.5769 4.5769 10.5657
angles: 90.00 90.00 90.00
Element x y z (fractional)
Sr 0.2500 0.2500 0.2486
Sr 0.7500 0.7500 0.7514
Ga 0.2500 0.7500 0.0000
Ga 0.7500 0.2500 0.0000
Sb 0.2500 0.2500 0.6375
Sb 0.7500 0.7500 0.3625
Pd 0.2500 0.2500 0.8898
Pd 0.2500 0.7500 0.5000
Pd 0.7500 0.2500 0.5000
Pd 0.7500 0.7500 0.1102

Computed properties:
crystal system = tetragonal
symmetry = P4/nmm (129)
VASP energy = -46.1 eV/cell

4.
VASP calculation (PBE-GGA) on a geometry-optimized Gd2AgTe3 structure.

abc: 9.2589 4.2480 17.4010
angles: 90.00 90.00 90.00
Element x y z (fractional)
Gd 0.0402 0.2500 0.2166
Gd 0.2470 0.7500 0.4765
Gd 0.2530 0.2500 0.9765
Gd 0.4598 0.7500 0.7166
Gd 0.5402 0.2500 0.2834
Gd 0.7470 0.7500 0.0235
Gd 0.7530 0.2500 0.5235
Gd 0.9598 0.7500 0.7834
Ag 0.1407 0.2500 0.6339
Ag 0.3593 0.7500 0.1339
Ag 0.6407 0.2500 0.8661
Ag 0.8593 0.7500 0.3661
Te 0.0332 0.2500 0.4047
Te 0.0807 0.7500 0.0781
Te 0.2213 0.2500 0.7882
Te 0.2787 0.7500 0.2882
Te 0.4193 0.2500 0.5781
Te 0.4668 0.7500 0.9047
Te 0.5332 0.2500 0.0953
Te 0.5807 0.7500 0.4219
Te 0.7213 0.2500 0.7118
Te 0.7787 0.7500 0.2118
Te 0.9193 0.2500 0.9219
Te 0.9668 0.7500 0.5953

Computed properties:
polymorph energy (0 for the lowest one) = 45.7 kJ/mol of formula units
crystal system = orthorhombic
symmetry = Pnma (62)
VASP energy = -109.3 eV/cell

5.
VASP calculation (PBE-GGA) on a geometry-optimized BaYAuS3 structure.

abc: 8.0301 4.0853 9.6738
angles: 90.00 106.79 90.00
Element x y z (fractional)
Ba 0.2396 0.2500 0.2792
Ba 0.7604 0.7500 0.7208
Y 0.3129 0.7500 0.8448
Y 0.6871 0.2500 0.1552
Au 0.1118 0.2500 0.5986
Au 0.8882 0.7500 0.4014
S 0.0785 0.2500 0.8495
S 0.2810 0.7500 0.5488
S 0.4441 0.7500 0.1384
S 0.5559 0.2500 0.8616
S 0.7190 0.2500 0.4512
S 0.9215 0.7500 0.1505

Computed properties:
crystal system = monoclinic
symmetry = P2_1/m (11)
VASP energy = -66.8 eV/cell

6.
VASP calculation (PBE-GGA) on a geometry-optimized K2RbAu structure.

abc: 13.7779 13.7779 8.7271
angles: 90.00 90.00 159.52
Element x y z (fractional)
K 0.1877 0.8123 0.2488
K 0.1877 0.8123 0.7512
K 0.8123 0.1877 0.2488
K 0.8123 0.1877 0.7512
Rb 0.4194 0.5806 0.5000
Rb 0.5806 0.4194 0.5000
Au 0.2817 0.7183 0.5000
Au 0.7183 0.2817 0.5000

Computed properties:
crystal system = orthorhombic
symmetry = Cmmm (65)
VASP energy = -13.6 eV/cell

7.
VASP calculation (PBE-GGA) on a geometry-optimized Rb3ErF6 structure.

abc: 6.5799 6.5799 6.5799
angles: 60.00 60.00 60.00
Element x y z (fractional)
Rb 0.0000 0.0000 0.0000
Rb 0.2500 0.2500 0.2500
Rb 0.7500 0.7500 0.7500
Er 0.5000 0.5000 0.5000
F 0.2723 0.2723 0.7277
F 0.2723 0.7277 0.2723
F 0.2723 0.7277 0.7277
F 0.7277 0.2723 0.2723
F 0.7277 0.2723 0.7277
F 0.7277 0.7277 0.2723

Computed properties:
crystal system = cubic
symmetry = Fm-3m (225)
VASP energy = -51.4 eV/cell

8.
VASP calculation (PBE-GGA) on a geometry-optimized LuBPt structure.

abc: 4.0919 4.0919 4.0919
angles: 60.00 60.00 60.00
Element x y z (fractional)
Lu 0.0000 0.0000 0.0000
B 0.2500 0.2500 0.2500
Pt 0.5000 0.5000 0.5000

Computed properties:
polymorph energy (0 for the lowest one) = 0.0 kJ/mol of formula units
crystal system = cubic
symmetry = F-43m (216)
VASP energy = -18.4 eV/cell

9.
VASP calculation (PBE-GGA) on a geometry-optimized ThCo5P2 structure.

abc: 5.7767 5.7767 5.7767
angles: 143.24 113.37 78.59
Element x y z (fractional)
Th 0.0000 0.0000 0.0000
Co 0.1582 0.3502 0.8080
Co 0.4578 0.6498 0.8080
Co 0.5000 0.0000 0.5000
Co 0.5422 0.3502 0.1920
Co 0.8418 0.6498 0.1920
P 0.2615 0.7615 0.5000
P 0.7385 0.2385 0.5000

Computed properties:
crystal system = orthorhombic
symmetry = Immm (71)
VASP energy = -59.1 eV/cell

10.
VASP calculation (PBE-GGA) on a geometry-optimized Ge3As2Pd2 structure.

abc: 7.9968 7.9968 7.9968
angles: 32.40 32.40 32.40
Element x y z (fractional)
Ge 0.0000 0.0000 0.0000
Ge 0.2390 0.2390 0.2390
Ge 0.4896 0.4896 0.4896
As 0.1137 0.1137 0.1137
As 0.6349 0.6349 0.6349
Pd 0.3708 0.3708 0.3708
Pd 0.8627 0.8627 0.8627

Computed properties:
crystal system = trigonal
symmetry = R3m (160)
VASP energy = -32.9 eV/cell

11.
VASP calculation (PBE-GGA) on a geometry-optimized NbIrO4 structure.

abc: 6.4873 6.4873 4.8875
angles: 110.88 110.88 117.46
Element x y z (fractional)
Nb 0.1610 0.8390 0.7500
Nb 0.8390 0.1610 0.2500
Ir 0.4198 0.5802 0.2500
Ir 0.5802 0.4198 0.7500
O 0.1094 0.5330 0.3207
O 0.2069 0.3077 0.6902
O 0.3077 0.2069 0.1902
O 0.4670 0.8906 0.1793
O 0.5330 0.1094 0.8207
O 0.6923 0.7931 0.8098
O 0.7931 0.6923 0.3098
O 0.8906 0.4670 0.6793

Computed properties:
crystal system = monoclinic
symmetry = C2/c (15)
VASP energy = -95.2 eV/cell

12.
VASP calculation (PBE-GGA) on a geometry-optimized PmPrTe2 structure.

abc: 4.4946 4.4946 6.3626
angles: 90.00 90.00 90.00
Element x y z (fractional)
Pm 0.0000 0.0000 0.0000
Pr 0.5000 0.5000 0.5000
Te 0.0000 0.0000 0.5000
Te 0.5000 0.5000 0.0000

Computed properties:
crystal system = tetragonal
symmetry = P4/mmm (123)
VASP energy = -21.5 eV/cell

13.
VASP calculation (PBE-GGA) on a geometry-optimized DyErTm2 structure.

abc: 7.1294 7.1294 5.5517
angles: 90.00 90.00 120.00
Element x y z (fractional)
Dy 0.1666 0.8334 0.7500
Dy 0.8334 0.1666 0.2500
Er 0.3338 0.6662 0.2500
Er 0.6662 0.3338 0.7500
Tm 0.1675 0.3337 0.7500
Tm 0.3337 0.1675 0.2500
Tm 0.6663 0.8325 0.7500
Tm 0.8325 0.6663 0.2500

Computed properties:
crystal system = orthorhombic
symmetry = Cmcm (63)
VASP energy = -36.2 eV/cell

14.
VASP calculation (PBE-GGA) on a geometry-optimized AcPaNO structure.

abc: 4.9374 4.9374 6.7898
angles: 90.00 90.00 90.00
Element x y z (fractional)
Ac 0.2500 0.7500 0.0000
Ac 0.7500 0.2500 0.0000
Pa 0.2500 0.2500 0.4568
Pa 0.7500 0.7500 0.5432
N 0.2500 0.2500 0.1342
N 0.7500 0.7500 0.8658
O 0.2500 0.7500 0.5000
O 0.7500 0.2500 0.5000

Computed properties:
polymorph energy (0 for the lowest one) = 62.2 kJ/mol of formula units
crystal system = tetragonal
symmetry = P4/nmm (129)
VASP energy = -63.6 eV/cell

15.
VASP calculation (PBE-GGA) on a geometry-optimized PdF2 structure.

abc: 2.7919 3.1845 8.0853
angles: 90.00 93.92 90.00
Element x y z (fractional)
Pd 0.0000 0.0000 0.0000
Pd 0.5000 0.5000 0.5000
F 0.0664 0.5000 0.1548
F 0.3823 0.0000 0.6477
F 0.6177 0.0000 0.3523
F 0.9336 0.5000 0.8452

Computed properties:
crystal system = monoclinic
symmetry = P2/m (10)
VASP energy = -23.8 eV/cell

16.
VASP calculation (PBE-GGA) on a geometry-optimized TbYSc structure.

abc: 5.2623 5.2623 5.2623
angles: 60.00 60.00 60.00
Element x y z (fractional)
Tb 0.0000 0.0000 0.0000
Y 0.5000 0.5000 0.5000
Sc 0.2500 0.2500 0.2500

Computed properties:
polymorph energy (0 for the lowest one) = 0.0 kJ/mol of formula units
crystal system = cubic
symmetry = F-43m (216)
VASP energy = -15.4 eV/cell

17.
VASP calculation (PBE-GGA) on a geometry-optimized UFe structure.

abc: 2.9912 2.9912 4.1895
angles: 90.00 90.00 120.00
Element x y z (fractional)
U 0.0000 0.0000 0.0000
Fe 0.3333 0.6667 0.5000

Computed properties:
crystal system = hexagonal
symmetry = P-6m2 (187)
VASP energy = -18.3 eV/cell

18.
VASP calculation (PBE-GGA) on a geometry-optimized MgSn2Au structure.

abc: 5.0713 5.0713 5.0713
angles: 60.00 60.00 60.00
Element x y z (fractional)
Mg 0.0000 0.0000 0.0000
Sn 0.5000 0.5000 0.5000
Sn 0.7500 0.7500 0.7500
Au 0.2500 0.2500 0.2500

Computed properties:
crystal system = cubic
symmetry = F-43m (216)
VASP energy = -13.1 eV/cell

19.
VASP calculation (PBE-GGA) on a geometry-optimized TbAuSO structure.

abc: 3.9085 3.9085 9.0780
angles: 90.00 90.00 90.00
Element x y z (fractional)
Tb 0.2500 0.2500 0.1254
Tb 0.7500 0.7500 0.8746
Au 0.2500 0.7500 0.5000
Au 0.7500 0.2500 0.5000
S 0.2500 0.2500 0.7146
S 0.7500 0.7500 0.2854
O 0.2500 0.7500 0.0000
O 0.7500 0.2500 0.0000

Computed properties:
polymorph energy (0 for the lowest one) = 61.6 kJ/mol of formula units
crystal system = tetragonal
symmetry = P4/nmm (129)
VASP energy = -48.4 eV/cell

20.
VASP calculation (PBE-GGA) on a geometry-optimized NaZnSiHO4 structure.

abc: 5.1394 7.6310 9.3065
angles: 90.00 90.00 90.00
Element x y z (fractional)
Na 0.0230 0.2093 0.3349
Na 0.4770 0.7907 0.8349
Na 0.5230 0.2907 0.6651
Na 0.9770 0.7093 0.1651
Zn 0.0223 0.1082 0.9924
Zn 0.4777 0.8918 0.4924
Zn 0.5223 0.3918 0.0076
Zn 0.9777 0.6082 0.5076
Si 0.0117 0.4871 0.8377
Si 0.4883 0.5129 0.3377
Si 0.5117 0.0129 0.1623
Si 0.9883 0.9871 0.6623
H 0.0219 0.2864 0.6249
H 0.4781 0.7136 0.1249
H 0.5219 0.2136 0.3751
H 0.9781 0.7864 0.8751
O 0.0867 0.9587 0.8279
O 0.1093 0.1708 0.5923
O 0.1272 0.8321 0.5672
O 0.1718 0.5139 0.3445
O 0.3282 0.4861 0.8445
O 0.3728 0.1679 0.0672
O 0.3907 0.8292 0.0923
O 0.4133 0.0413 0.3279
O 0.5867 0.5413 0.1721
O 0.6093 0.3292 0.4077
O 0.6272 0.6679 0.4328
O 0.6718 0.9861 0.6555
O 0.8282 0.0139 0.1555
O 0.8728 0.3321 0.9328
O 0.8907 0.6708 0.9077
O 0.9133 0.4587 0.6721

Computed properties:
crystal system = orthorhombic
symmetry = P2_12_12_1 (19)
VASP energy = -188.4 eV/cell